No. 1
A plane-wave DFT calculation with GGA-PBE was carried out for a relaxed structure of InBiSN2.

Unit cell a=4.379 b=4.379 c=5.524 alpha=90.00 beta=90.00 gamma=90.00
Positions (direct):
In: 0.500 0.500 0.500
N: 0.000 0.500 0.000
N: 0.500 0.000 0.000
S: 0.000 0.000 0.500
Bi: 0.000 0.000 0.000

Results
Uncorrected formation energy   1308 meV/atom
Space group   P4/mmm



No. 2
A plane-wave DFT calculation with GGA-PBE was carried out for a relaxed structure of Tb2MgPt.

Unit cell a=5.107 b=5.107 c=5.107 alpha=60.00 beta=60.00 gamma=60.00
Positions (direct):
Tb: 0.750 0.750 0.750
Tb: 0.250 0.250 0.250
Pt: 0.500 0.500 0.500
Mg: 0.000 0.000 0.000

Results
ΔE_f   -0.5855 eV per atom
Space group   Fm-3m



No. 3
A plane-wave DFT calculation with GGA-PBE was carried out for a relaxed structure of Pm6ErSc2.

Unit cell a=6.657 b=9.469 c=9.469 alpha=88.20 beta=78.58 gamma=78.58
Positions (direct):
Sc: 0.875 0.338 0.287
Sc: 0.625 0.713 0.662
Sc: 0.125 0.662 0.713
Sc: 0.375 0.287 0.338
Pm: 0.272 0.950 0.536
Pm: 0.997 0.669 0.387
Pm: 0.772 0.536 0.950
Pm: 0.684 0.211 0.025
Pm: 0.728 0.050 0.464
Pm: 0.497 0.387 0.669
Pm: 0.503 0.613 0.331
Pm: 0.316 0.789 0.975
Pm: 0.003 0.331 0.613
Pm: 0.228 0.464 0.050
Pm: 0.184 0.025 0.211
Pm: 0.816 0.975 0.789
Er: 0.250 0.138 0.862
Er: 0.750 0.862 0.138

Results
ΔE_f   0.1322 eV per atom
Space group   C2/c